Computed, not measured: a relaxed structure of Na2Cd3Ge2 at the PBE level of DFT.

Computed properties:
Energy of formation from the pure elements (meV per atom): -64
M_tot (μB per atom): 0.000

a b c (Å): 4.5652 5.7892 6.9823
angles (deg): 101.45 90.00 113.22
Element x y z (fractional)
Na (0.3753, 0.7507, 0.6459)
Na (0.6247, 0.2493, 0.3541)
Ge (0.9095, 0.8190, 0.3358)
Ge (0.0905, 0.1810, 0.6642)
Cd (0.3028, 0.6055, 0.1398)
Cd (0.6972, 0.3945, 0.8602)
Cd (0.0000, 0.0000, 0.0000)